A plane-wave DFT calculation with PBE was carried out for an optimized crystal structure of K2PmTlO4.

Geometry as POSCAR:
```
K2PmTlO4
1.0
3.552 0.000 0.000
0.000 6.130 0.043
0.000 -2.199 6.293
K Pm Tl O
2 1 1 4
Cartesian
1.776 -1.100 3.146
0.000 1.965 3.168
1.776 3.065 0.022
0.000 0.000 0.000
1.776 0.962 1.237
1.776 2.968 5.099
0.000 -0.068 5.050
0.000 3.998 1.286
```

Computed properties:
E_form (uncorrected)   -1.817 eV per atom
E_tot   -43.7 eV per cell

***

A plane-wave DFT calculation with PBE was carried out for an optimized crystal structure of K3Pm2TmO6.

Geometry as POSCAR:
```
K3Pm2TmO6
1.0
6.147 -0.001 0.001
-3.073 5.323 0.001
-1.024 -1.774 6.281
K Pm Tm O
3 2 1 6
Cartesian
-2.069 3.561 3.141
4.118 -0.012 3.141
1.025 1.774 3.141
0.000 3.549 0.001
3.074 1.773 0.001
0.000 0.000 0.000
3.037 1.838 5.105
2.086 3.612 1.175
-0.987 1.710 1.178
0.074 3.549 5.105
-0.037 -0.064 5.107
1.975 -0.001 1.178
```

Computed properties:
E_form (uncorrected)   -2.698 eV per atom
E_tot   -79.4 eV per cell

***

> Which of these has the highest E_tot?

K2PmTlO4

***

> The highest E_form (uncorrected) belongs to which entry?

K2PmTlO4

***

> What is the E_form (uncorrected) in the first record?

-1.817 eV per atom

***

> E_tot of number 1 (K2PmTlO4)?

-43.7 eV per cell